DFT (PBE+U) results for a relaxed structure of MoWO2.

space group = Fm-3m (225)
energy above the most stable polymorph in this dataset = 958.4 meV per atom

```
4
Lattice="3.108 -1.289 2.237 -0.400 -3.292 2.308 1.927 -3.409 -0.993" Properties=species:S:1:pos:R:3 pbc="T T T"
O 1.159 -1.997 0.888
O 3.477 -5.992 2.664
W 2.318 -3.995 1.776
Mo 0.000 0.000 0.000
```